No. 1
Crystalline Ca2AlSb at its relaxed geometry, computed with PBE.

a = 3.4655 Å, b = 3.4655 Å, c = 9.0298 Å
α = 90.00°, β = 90.00°, γ = 90.00°
Space group P4/mmm (No. 123)
Inequivalent atoms, fractional coordinates:
Ca: 0.0000 0.0000 0.2469 (multiplicity 2)
Al: 0.5000 0.5000 0.0000 (multiplicity 1)
Sb: 0.5000 0.5000 0.5000 (multiplicity 1)

Calculated values
Formation energy from raw total energies ... -0.440 eV per atom
Total moment ... 0.0 μB/f.u.
Calculated volume ... 27.112 Å³/atom

---

No. 2
Crystalline Sr2ZrSe4 at its relaxed geometry, computed with PBE.

a = 7.7184 Å, b = 12.5120 Å, c = 4.2021 Å
α = 90.00°, β = 90.00°, γ = 90.00°
Space group Pbam (No. 55)
Inequivalent atoms, fractional coordinates:
Sr: 0.0960 0.1817 0.0000 (multiplicity 4)
Zr: 0.0000 0.5000 0.5000 (multiplicity 2)
Se: 0.1196 0.7007 0.5000 (multiplicity 4)
Se: 0.2251 0.4503 0.0000 (multiplicity 4)

Calculated values
Formation energy from raw total energies ... -1.713 eV per atom
Total moment ... 0.0 μB/f.u.
Calculated volume ... 28.986 Å³/atom

---

No. 3
Crystalline Mn2PtSe at its relaxed geometry, computed with PBE.

a = 3.2404 Å, b = 3.2404 Å, c = 6.3018 Å
α = 90.00°, β = 90.00°, γ = 90.00°
Space group P4/mmm (No. 123)
Inequivalent atoms, fractional coordinates:
Mn: 0.0000 0.0000 0.2425 (multiplicity 2)
Pt: 0.5000 0.5000 0.0000 (multiplicity 1)
Se: 0.5000 0.5000 0.5000 (multiplicity 1)

Calculated values
Formation energy from raw total energies ... -0.077 eV per atom
Total moment ... 8.8 μB/f.u.
Calculated volume ... 16.543 Å³/atom

---

No. 4
Crystalline Pa2ReC at its relaxed geometry, computed with PBE.

a = 3.2308 Å, b = 3.2308 Å, c = 6.6508 Å
α = 90.00°, β = 90.00°, γ = 90.00°
Space group P4/mmm (No. 123)
Inequivalent atoms, fractional coordinates:
Pa: 0.0000 0.0000 0.2180 (multiplicity 2)
Re: 0.5000 0.5000 0.5000 (multiplicity 1)
C: 0.5000 0.5000 0.0000 (multiplicity 1)

Calculated values
Energy of formation from the pure elements ... 0.14 eV/atom
Total moment ... 0.0 μB/f.u.
Calculated volume ... 17.355 Å³/atom

---

No. 5
Crystalline In2Sn3S7 at its relaxed geometry, computed with PBE.

a = 11.5337 Å, b = 3.8224 Å, c = 13.3296 Å
α = 90.00°, β = 105.45°, γ = 90.00°
Space group P2_1/m (No. 11)
Inequivalent atoms, fractional coordinates:
In: 0.0172 0.2500 0.1237 (multiplicity 2)
In: 0.0288 0.7500 0.3901 (multiplicity 2)
Sn: 0.3058 0.2500 0.9861 (multiplicity 2)
Sn: 0.3371 0.2500 0.7195 (multiplicity 2)
Sn: 0.3903 0.2500 0.3892 (multiplicity 2)
S: 0.1072 0.2500 0.8185 (multiplicity 2)
S: 0.1179 0.7500 0.5893 (multiplicity 2)
S: 0.1409 0.7500 0.0611 (multiplicity 2)
S: 0.1547 0.2500 0.3267 (multiplicity 2)
S: 0.3794 0.7500 0.5261 (multiplicity 2)
S: 0.3996 0.7500 0.8743 (multiplicity 2)
S: 0.4120 0.7500 0.2666 (multiplicity 2)

Calculated values
Formation energy from raw total energies ... -0.437 eV per atom
Total moment ... 0.0 μB/f.u.
Calculated volume ... 23.601 Å³/atom

---

No. 6
Crystalline Rb2SrPBr6 at its relaxed geometry, computed with PBE.

a = 7.8668 Å, b = 7.8668 Å, c = 12.7940 Å
α = 90.00°, β = 90.00°, γ = 90.00°
Space group I4/mmm (No. 139)
Inequivalent atoms, fractional coordinates:
Rb: 0.0000 0.5000 0.2500 (multiplicity 4)
Sr: 0.0000 0.0000 0.0000 (multiplicity 2)
P: 0.0000 0.0000 0.5000 (multiplicity 2)
Br: 0.0000 0.0000 0.2326 (multiplicity 4)
Br: 0.2290 0.2290 0.5000 (multiplicity 8)

Calculated values
Formation energy from raw total energies ... -1.234 eV per atom
Total moment ... 1.0 μB/f.u.
Calculated volume ... 39.589 Å³/atom

---

No. 7
Crystalline MgNbTl2 at its relaxed geometry, computed with PBE.

a = 7.7720 Å, b = 7.7720 Å, c = 6.2269 Å
α = 90.00°, β = 90.00°, γ = 90.00°
Space group I-42d (No. 122)
Inequivalent atoms, fractional coordinates:
Mg: 0.0000 0.0000 0.0000 (multiplicity 4)
Nb: 0.0000 0.0000 0.5000 (multiplicity 4)
Tl: 0.2427 0.2500 0.1250 (multiplicity 8)

Calculated values
Energy of formation from the pure elements ... 0.57 eV/atom
Total moment ... 0.8 μB/f.u.
Calculated volume ... 23.508 Å³/atom

---

No. 8
Crystalline PmDyThSn at its relaxed geometry, computed with PBE.

a = 7.7551 Å, b = 7.7551 Å, c = 7.7551 Å
α = 90.00°, β = 90.00°, γ = 90.00°
Space group F-43m (No. 216)
Inequivalent atoms, fractional coordinates:
Pm: 0.0000 0.0000 0.0000 (multiplicity 4)
Dy: 0.0000 0.0000 0.5000 (multiplicity 4)
Th: 0.2500 0.2500 0.7500 (multiplicity 4)
Sn: 0.2500 0.2500 0.2500 (multiplicity 4)

Calculated values
Energy of formation from the pure elements ... -0.16 eV/atom
Total moment ... 0.0 μB/f.u.
Calculated volume ... 29.150 Å³/atom

---

No. 9
Crystalline TlBIrSe2 at its relaxed geometry, computed with PBE.

a = 5.3811 Å, b = 5.3811 Å, c = 5.1571 Å
α = 90.00°, β = 90.00°, γ = 90.00°
Space group P4/mmm (No. 123)
Inequivalent atoms, fractional coordinates:
Tl: 0.0000 0.0000 0.0000 (multiplicity 1)
B: 0.5000 0.5000 0.5000 (multiplicity 1)
Ir: 0.0000 0.0000 0.5000 (multiplicity 1)
Se: 0.0000 0.5000 0.0000 (multiplicity 2)

Calculated values
Formation energy from raw total energies ... 2.200 eV per atom
Total moment ... 1.3 μB/f.u.
Calculated volume ... 29.866 Å³/atom

---

No. 10
Crystalline LiMgNbTc at its relaxed geometry, computed with PBE.

a = 3.2598 Å, b = 3.2647 Å, c = 6.6327 Å
α = 90.00°, β = 90.81°, γ = 90.00°
Space group Pm (No. 6)
Inequivalent atoms, fractional coordinates:
Li: 0.0000 0.0000 0.0000 (multiplicity 1)
Mg: 0.4988 0.5000 0.7395 (multiplicity 1)
Nb: 0.5073 0.5000 0.2815 (multiplicity 1)
Tc: 0.9897 0.0000 0.4681 (multiplicity 1)

Calculated values
Energy of formation from the pure elements ... 0.10 eV/atom
Total moment ... 0.0 μB/f.u.
Calculated volume ... 17.645 Å³/atom

---

No. 11
Crystalline TcSbSe2 at its relaxed geometry, computed with PBE.

a = 4.8297 Å, b = 4.8297 Å, c = 3.2894 Å
α = 90.00°, β = 90.00°, γ = 90.00°
Space group P4/mmm (No. 123)
Inequivalent atoms, fractional coordinates:
Tc: 0.0000 0.0000 0.0000 (multiplicity 1)
Sb: 0.5000 0.5000 0.0000 (multiplicity 1)
Se: 0.0000 0.5000 0.5000 (multiplicity 2)

Calculated values
Formation energy from raw total energies ... 0.481 eV per atom
Total moment ... 0.5 μB/f.u.
Calculated volume ... 19.182 Å³/atom

---

No. 12
Crystalline Tb5Si5Ge2 at its relaxed geometry, computed with PBE.

a = 14.4965 Å, b = 4.0676 Å, c = 11.2895 Å
α = 90.00°, β = 129.54°, γ = 90.00°
Space group C2/m (No. 12)
Inequivalent atoms, fractional coordinates:
Tb: 0.0000 0.0000 0.0000 (multiplicity 2)
Tb: 0.1104 0.0000 0.4284 (multiplicity 4)
Tb: 0.2056 0.0000 0.8391 (multiplicity 4)
Si: 0.0000 0.5000 0.5000 (multiplicity 2)
Si: 0.0631 0.5000 0.8443 (multiplicity 4)
Si: 0.2341 0.5000 0.6792 (multiplicity 4)
Ge: 0.1432 0.5000 0.2590 (multiplicity 4)

Calculated values
Formation energy from raw total energies ... -0.621 eV per atom
Total moment ... 0.0 μB/f.u.
Calculated volume ... 21.391 Å³/atom

---

No. 13
Crystalline Cs2Tl2Cd at its relaxed geometry, computed with PBE.

a = 8.3256 Å, b = 8.3256 Å, c = 6.4717 Å
α = 90.00°, β = 90.00°, γ = 90.00°
Space group P4/mbm (No. 127)
Inequivalent atoms, fractional coordinates:
Cs: 0.1842 0.3158 0.0000 (multiplicity 4)
Tl: 0.1308 0.6308 0.5000 (multiplicity 4)
Cd: 0.0000 0.0000 0.5000 (multiplicity 2)

Calculated values
Energy of formation from the pure elements ... 0.02 eV/atom
Total moment ... 0.0 μB/f.u.
Calculated volume ... 44.859 Å³/atom

---

No. 14
Crystalline Li2CoSb at its relaxed geometry, computed with PBE.

a = 3.2752 Å, b = 3.2752 Å, c = 5.9618 Å
α = 90.00°, β = 90.00°, γ = 90.00°
Space group P4mm (No. 99)
Inequivalent atoms, fractional coordinates:
Li: 0.0000 0.0000 0.0000 (multiplicity 1)
Li: 0.5000 0.5000 0.2571 (multiplicity 1)
Co: 0.5000 0.5000 0.7483 (multiplicity 1)
Sb: 0.0000 0.0000 0.5468 (multiplicity 1)

Calculated values
Formation energy from raw total energies ... -0.072 eV per atom
Total moment ... 0.3 μB/f.u.
Calculated volume ... 15.988 Å³/atom

---

No. 15
Crystalline PuTaAs2 at its relaxed geometry, computed with PBE.

a = 3.2940 Å, b = 3.2940 Å, c = 7.0796 Å
α = 90.00°, β = 90.00°, γ = 90.00°
Space group P4/mmm (No. 123)
Inequivalent atoms, fractional coordinates:
Pu: 0.0000 0.0000 0.0000 (multiplicity 1)
Ta: 0.0000 0.0000 0.5000 (multiplicity 1)
As: 0.5000 0.5000 0.2860 (multiplicity 2)

Calculated values
Energy of formation from the pure elements ... -0.52 eV/atom
Total moment ... 5.6 μB/f.u.
Calculated volume ... 19.204 Å³/atom

---

No. 16
Crystalline DyMg3Tl3 at its relaxed geometry, computed with PBE.

a = 7.7604 Å, b = 7.7604 Å, c = 7.7604 Å
α = 90.00°, β = 90.00°, γ = 90.00°
Space group Pm-3n (No. 223)
Inequivalent atoms, fractional coordinates:
Dy: 0.0000 0.0000 0.0000 (multiplicity 2)
Mg: 0.0000 0.2500 0.5000 (multiplicity 6)
Tl: 0.0000 0.5000 0.2500 (multiplicity 6)

Calculated values
Energy of formation from the pure elements ... 0.49 eV/atom
Total moment ... 0.0 μB/f.u.
Calculated volume ... 33.383 Å³/atom

---

No. 17
Crystalline Cs2ScOsO6 at its relaxed geometry, computed with PBE.

a = 6.5858 Å, b = 6.5858 Å, c = 5.3865 Å
α = 90.00°, β = 90.00°, γ = 120.00°
Space group P-3m1 (No. 164)
Inequivalent atoms, fractional coordinates:
Cs: 0.3333 0.6667 0.2016 (multiplicity 2)
Sc: 0.0000 0.0000 0.5000 (multiplicity 1)
Os: 0.0000 0.0000 0.0000 (multiplicity 1)
O: 0.1327 0.2655 0.7813 (multiplicity 6)

Calculated values
Formation energy from raw total energies ... -1.761 eV per atom
Total moment ... 0.8 μB/f.u.
Calculated volume ... 20.232 Å³/atom

---

No. 18
Crystalline NaMn2H at its relaxed geometry, computed with PBE.

a = 6.1669 Å, b = 6.1669 Å, c = 6.1669 Å
α = 90.00°, β = 90.00°, γ = 90.00°
Space group Fm-3m (No. 225)
Inequivalent atoms, fractional coordinates:
Na: 0.0000 0.0000 0.0000 (multiplicity 4)
Mn: 0.2500 0.2500 0.2500 (multiplicity 8)
H: 0.0000 0.0000 0.5000 (multiplicity 4)

Calculated values
Total moment ... 7.5 μB/f.u.
DFT total energy ... -4.46 eV per atom
Calculated volume ... 14.658 Å³/atom

---

No. 19
Crystalline CaAcCu2S4 at its relaxed geometry, computed with PBE.

a = 6.6766 Å, b = 6.6766 Å, c = 7.7866 Å
α = 90.00°, β = 90.00°, γ = 90.00°
Space group I-42m (No. 121)
Inequivalent atoms, fractional coordinates:
Ca: 0.0000 0.0000 0.0000 (multiplicity 2)
Ac: 0.0000 0.0000 0.5000 (multiplicity 2)
Cu: 0.0000 0.5000 0.2500 (multiplicity 4)
S: 0.2334 0.2334 0.2313 (multiplicity 8)

Calculated values
Formation energy from raw total energies ... -1.209 eV per atom
Total moment ... 0.0 μB/f.u.
Calculated volume ... 21.694 Å³/atom

---

No. 20
Crystalline RbZrTc at its relaxed geometry, computed with PBE.

a = 4.5702 Å, b = 4.5711 Å, c = 12.7582 Å
α = 94.39°, β = 95.68°, γ = 119.85°
Space group P1 (No. 1)
Inequivalent atoms, fractional coordinates:
Rb: 0.0000 0.0000 0.0000 (multiplicity 1)
Rb: 0.3350 0.3037 0.6539 (multiplicity 1)
Zr: 0.4644 0.7878 0.2578 (multiplicity 1)
Zr: 0.8739 0.5236 0.4073 (multiplicity 1)
Tc: 0.1592 0.1467 0.3130 (multiplicity 1)
Tc: 0.7754 0.4336 0.2134 (multiplicity 1)

Calculated values
Energy of formation from the pure elements ... 0.43 eV/atom
Total moment ... 0.0 μB/f.u.
Calculated volume ... 37.931 Å³/atom

---

No. 21
Crystalline AlAuBr2 at its relaxed geometry, computed with PBE.

a = 3.5114 Å, b = 3.5114 Å, c = 29.1769 Å
α = 90.00°, β = 90.00°, γ = 120.00°
Space group R-3m (No. 166, hexagonal axes)
Inequivalent atoms, fractional coordinates:
Al: 0.0000 0.0000 0.0000 (multiplicity 3)
Au: 0.0000 0.0000 0.5000 (multiplicity 3)
Br: 0.0000 0.0000 0.3922 (multiplicity 6)

Calculated values
Formation energy from raw total energies ... 0.017 eV per atom
Total moment ... 0.0 μB/f.u.
Calculated volume ... 25.963 Å³/atom

---

No. 22
Crystalline BaSrTa at its relaxed geometry, computed with PBE.

a = 3.4881 Å, b = 3.4881 Å, c = 17.2037 Å
α = 90.00°, β = 90.00°, γ = 90.00°
Space group I4mm (No. 107)
Inequivalent atoms, fractional coordinates:
Ba: 0.0000 0.0000 0.0000 (multiplicity 2)
Sr: 0.0000 0.0000 0.7196 (multiplicity 2)
Ta: 0.0000 0.0000 0.3557 (multiplicity 2)

Calculated values
Energy of formation from the pure elements ... 0.98 eV/atom
Total moment ... 0.0 μB/f.u.
Calculated volume ... 34.887 Å³/atom

---

No. 23
Crystalline TePt at its relaxed geometry, computed with PBE.

a = 12.6610 Å, b = 4.0622 Å, c = 5.6717 Å
α = 90.00°, β = 110.34°, γ = 90.00°
Space group Cm (No. 8)
Inequivalent atoms, fractional coordinates:
Te: 0.0000 0.0000 0.0000 (multiplicity 2)
Te: 0.1504 0.5000 0.6141 (multiplicity 2)
Te: 0.3055 0.0000 0.1815 (multiplicity 2)
Pt: 0.1483 0.5000 0.1113 (multiplicity 2)
Pt: 0.2933 0.0000 0.6740 (multiplicity 2)
Pt: 0.4002 0.5000 0.5152 (multiplicity 2)

Calculated values
Formation energy from raw total energies ... -0.157 eV per atom
Total moment ... 0.0 μB/f.u.
Calculated volume ... 22.793 Å³/atom

---

No. 24
Crystalline Ac2Pb2Br at its relaxed geometry, computed with PBE.

a = 4.7970 Å, b = 17.5308 Å, c = 4.5717 Å
α = 90.00°, β = 90.00°, γ = 90.00°
Space group Cmmm (No. 65)
Inequivalent atoms, fractional coordinates:
Ac: 0.0000 0.1425 0.0000 (multiplicity 4)
Pb: 0.0000 0.3106 0.5000 (multiplicity 4)
Br: 0.0000 0.0000 0.5000 (multiplicity 2)

Calculated values
Formation energy from raw total energies ... -0.808 eV per atom
Total moment ... 0.0 μB/f.u.
Calculated volume ... 38.447 Å³/atom

---

No. 25
Crystalline MgWCl2 at its relaxed geometry, computed with PBE.

a = 7.0597 Å, b = 7.0597 Å, c = 7.0597 Å
α = 90.00°, β = 90.00°, γ = 90.00°
Space group F-43m (No. 216)
Inequivalent atoms, fractional coordinates:
Mg: 0.0000 0.0000 0.0000 (multiplicity 4)
W: 0.2500 0.2500 0.2500 (multiplicity 4)
Cl: 0.0000 0.0000 0.5000 (multiplicity 4)
Cl: 0.2500 0.2500 0.7500 (multiplicity 4)

Calculated values
Formation energy from raw total energies ... 0.942 eV per atom
Total moment ... 5.8 μB/f.u.
Calculated volume ... 21.991 Å³/atom

---

No. 26
Crystalline TaMo2HOs at its relaxed geometry, computed with PBE.

a = 4.0403 Å, b = 4.0403 Å, c = 4.0637 Å
α = 90.00°, β = 90.00°, γ = 90.00°
Space group P4/mmm (No. 123)
Inequivalent atoms, fractional coordinates:
Ta: 0.0000 0.0000 0.0000 (multiplicity 1)
Mo: 0.0000 0.5000 0.5000 (multiplicity 2)
H: 0.5000 0.5000 0.5000 (multiplicity 1)
Os: 0.5000 0.5000 0.0000 (multiplicity 1)

Calculated values
Total moment ... 0.0 μB/f.u.
DFT total energy ... -9.53 eV per atom
Calculated volume ... 13.267 Å³/atom